# 1
LaIr2W (SCAN, PBEsol geometry); excess energy over the best structure of this formula in the dataset = 0.245 eV per atom; crystal system = tetragonal; formation energy from the elements = 1.28 eV per formula unit; E_tot = -63.4290 eV per atom; Fermi-level density of states = 4.00 states/eV/f.u.
1.0
-2.137 2.137 3.873
2.137 -2.137 3.873
2.137 2.137 -3.873
La Ir W
1 2 1
Direct
0.000 0.000 0.000 La
0.250 0.750 0.500 Ir
0.750 0.250 0.500 Ir
0.500 0.500 0.000 W



# 2
LaIr2W (SCAN, PBEsol geometry); excess energy over the best structure of this formula in the dataset = 0.000 eV per atom; crystal system = tetragonal; formation energy from the elements = 0.29 eV per formula unit; E_tot = -63.6741 eV per atom; Fermi-level density of states = 2.52 states/eV/f.u.
1.0
4.958 0.000 0.000
0.000 4.958 0.000
0.000 0.000 2.893
La Ir W
1 2 1
Direct
0.000 0.000 0.000 La
0.000 0.500 0.500 Ir
0.500 0.000 0.500 Ir
0.500 0.500 0.000 W



# 3
La2IrW (SCAN, PBEsol geometry); excess energy over the best structure of this formula in the dataset = 0.454 eV per atom; crystal system = orthorhombic; formation energy from the elements = 1.34 eV per formula unit; E_tot = -56.4150 eV per atom; Fermi-level density of states = 3.07 states/eV/f.u.
1.0
3.175 0.000 0.000
0.000 3.905 0.000
0.000 0.000 7.214
La Ir W
2 1 1
Direct
0.000 0.000 0.236 La
0.000 0.000 0.764 La
0.500 0.500 0.000 Ir
0.500 0.500 0.500 W



# 4
LaYIr4 (SCAN, PBEsol geometry); crystal system = cubic; formation energy from the elements = -5.34 eV per formula unit; E_tot = -60.1145 eV per atom; Fermi-level density of states = 4.70 states/eV/f.u.
1.0
0.000 3.784 3.784
3.784 0.000 3.784
3.784 3.784 0.000
La Y Ir
1 1 4
Direct
0.000 0.000 0.000 La
0.250 0.250 0.250 Y
0.126 0.625 0.625 Ir
0.625 0.126 0.625 Ir
0.625 0.625 0.126 Ir
0.625 0.625 0.625 Ir



# 5
La4YIr (SCAN, PBEsol geometry); crystal system = cubic; formation energy from the elements = 3.28 eV per formula unit; E_tot = -44.6805 eV per atom; Fermi-level density of states = 8.61 states/eV/f.u.
1.0
0.000 4.378 4.378
4.378 0.000 4.378
4.378 4.378 0.000
La Y Ir
4 1 1
Direct
0.378 0.378 0.378 La
0.378 0.378 0.866 La
0.378 0.866 0.378 La
0.866 0.378 0.378 La
0.000 0.000 0.000 Y
0.750 0.750 0.750 Ir



# 6
LaY2Ir (SCAN, PBEsol geometry); excess energy over the best structure of this formula in the dataset = 0.374 eV per atom; crystal system = tetragonal; formation energy from the elements = -0.56 eV per formula unit; E_tot = -42.6132 eV per atom; Fermi-level density of states = 4.12 states/eV/f.u.
1.0
-2.138 2.138 5.243
2.138 -2.138 5.243
2.138 2.138 -5.243
La Y Ir
1 2 1
Direct
0.000 0.000 0.000 La
0.250 0.750 0.500 Y
0.750 0.250 0.500 Y
0.500 0.500 0.000 Ir



# 7
LaY2Ir (SCAN, PBEsol geometry); excess energy over the best structure of this formula in the dataset = 0.000 eV per atom; crystal system = monoclinic; formation energy from the elements = -2.06 eV per formula unit; E_tot = -42.9875 eV per atom; Fermi-level density of states = 3.24 states/eV/f.u.
1.0
5.971 -1.833 0.000
5.971 1.833 0.000
-2.321 0.000 4.728
La Y Ir
1 2 1
Direct
0.000 0.000 0.000 La
0.201 0.201 0.701 Y
0.397 0.397 0.397 Y
0.703 0.703 0.205 Ir



# 8
La2ZnIr (SCAN, PBEsol geometry); crystal system = trigonal; formation energy from the elements = -2.23 eV per formula unit; E_tot = -43.2644 eV per atom; Fermi-level density of states = 3.40 states/eV/f.u.
1.0
2.059 1.189 7.547
-2.059 1.189 7.547
0.000 -2.377 7.547
La Zn Ir
2 1 1
Direct
0.236 0.236 0.236 La
0.764 0.764 0.764 La
0.000 0.000 0.000 Zn
0.500 0.500 0.500 Ir



# 9
La2ZnIr (SCAN, PBEsol geometry); crystal system = orthorhombic; formation energy from the elements = -2.55 eV per formula unit; E_tot = -43.3425 eV per atom; Fermi-level density of states = 3.17 states/eV/f.u.
1.0
4.409 0.000 0.000
0.000 2.036 5.457
0.000 -2.036 5.457
La Zn Ir
2 1 1
Direct
0.000 0.000 0.000 La
0.500 0.276 0.276 La
0.000 0.705 0.705 Zn
0.500 0.569 0.569 Ir



# 10
LaZn2Ir (SCAN, PBEsol geometry); crystal system = tetragonal; formation energy from the elements = -0.97 eV per formula unit; E_tot = -35.5519 eV per atom; Fermi-level density of states = 1.32 states/eV/f.u.
1.0
3.149 0.000 0.000
0.000 3.149 0.000
0.000 0.000 7.211
La Zn Ir
1 2 1
Direct
0.000 0.000 0.000 La
0.500 0.500 0.313 Zn
0.500 0.500 0.687 Zn
0.000 0.000 0.500 Ir



# 11
LaZn4Ir (SCAN, PBEsol geometry); crystal system = cubic; formation energy from the elements = -2.10 eV per formula unit; E_tot = -28.3940 eV per atom
1.0
0.000 3.651 3.651
3.651 0.000 3.651
3.651 3.651 0.000
La Zn Ir
1 4 1
Direct
0.000 0.000 0.000 La
0.377 0.377 0.377 Zn
0.377 0.377 0.869 Zn
0.377 0.869 0.377 Zn
0.869 0.377 0.377 Zn
0.750 0.750 0.750 Ir



# 12
La2ZnIr (SCAN, PBEsol geometry); crystal system = trigonal; formation energy from the elements = -1.74 eV per formula unit; E_tot = -43.1405 eV per atom; Fermi-level density of states = 3.20 states/eV/f.u.
1.0
2.452 1.416 3.964
-2.452 1.416 3.964
0.000 -2.831 3.964
La Zn Ir
2 1 1
Direct
0.000 0.000 0.000 La
0.252 0.252 0.252 La
0.503 0.503 0.503 Zn
0.748 0.748 0.748 Ir